i | AlBBr3 | GGA-PBE | relaxed

Cell: 5.1479 5.1479 5.1479 Å, 90.00 90.00 90.00°
Fractional positions:
Al1 0.0000 0.0000 0.0000
B1 0.5000 0.5000 0.5000
Br1 0.0000 0.0000 0.5000
Br2 0.0000 0.5000 0.0000
Br3 0.5000 0.0000 0.0000

## Properties
Its symmetry is Pm-3m. Its crystal system is cubic. The calculation puts the total moment at 0.4 Bohr magnetons per cell.

***

ii | AlBBr3 | GGA-PBE | relaxed

Cell: 4.8547 4.8547 4.8547 Å, 90.00 90.00 90.00°
Fractional positions:
Al1 0.0000 0.0000 0.0000
B1 0.5000 0.5000 0.5000
Br1 0.0000 0.5000 0.5000
Br2 0.5000 0.0000 0.5000
Br3 0.5000 0.5000 0.0000

## Properties
Its symmetry is Pm-3m. Its crystal system is cubic. The calculation puts the total moment at 0.0 Bohr magnetons per cell.

***

Tell me which of them is the least stable. Sure, it is i.

***

i | AlFeBBr | GGA-PBE | relaxed

Cell: 4.4858 4.4858 4.5986 Å, 90.18 90.18 45.49°
Fractional positions:
Al1 0.0000 0.0000 0.0000
Fe1 0.2800 0.2800 0.0030
B1 0.6896 0.6896 0.0029
Br1 0.3871 0.3871 0.5035

## Properties
Its symmetry is Cm. Its crystal system is monoclinic. The calculation puts the total moment at 0.0 Bohr magnetons per cell.

***

ii | AlFeBBr | GGA-PBE | relaxed

Cell: 6.2790 6.2790 6.2790 Å, 148.64 145.64 47.20°
Fractional positions:
Al1 0.0000 0.0000 0.0000
Fe1 0.3836 0.8836 0.5000
B1 0.4468 0.4468 0.0000
Br1 0.1746 0.6746 0.5000

## Properties
Its symmetry is Imm2. Its crystal system is orthorhombic. The calculation puts the total moment at 0.0 Bohr magnetons per cell.

***

iii | AlFeBBr | GGA-PBE | relaxed

Cell: 3.4265 3.4396 6.3122 Å, 102.95 90.18 119.86°
Fractional positions:
Al1 0.0000 0.0000 0.0000
Fe1 0.7293 0.4557 0.2327
B1 0.3796 0.7570 0.1725
Br1 0.7829 0.5509 0.6283

## Properties
Its symmetry is P1. Its crystal system is triclinic. The calculation puts the total moment at 0.0 Bohr magnetons per cell.

***

Tell me which of them is the least stable. Sure, it is i.

***

i | AlBSeBr2 | GGA-PBE | relaxed

Cell: 5.0373 5.0373 4.9929 Å, 90.00 90.00 90.00°
Fractional positions:
Al1 0.0000 0.0000 0.0000
B1 0.5000 0.5000 0.5000
Se1 0.0000 0.0000 0.5000
Br1 0.0000 0.5000 0.0000
Br2 0.5000 0.0000 0.0000

## Properties
Its symmetry is P4/mmm. Its crystal system is tetragonal. The calculation puts the total moment at 0.0 Bohr magnetons per cell.

***

ii | AlBSeBr2 | GGA-PBE | relaxed

Cell: 4.6845 4.6845 4.7008 Å, 90.00 90.00 90.00°
Fractional positions:
Al1 0.0000 0.0000 0.0000
B1 0.5000 0.5000 0.5000
Se1 0.5000 0.5000 0.0000
Br1 0.0000 0.5000 0.5000
Br2 0.5000 0.0000 0.5000

## Properties
Its symmetry is P4/mmm. Its crystal system is tetragonal. The calculation puts the total moment at 0.0 Bohr magnetons per cell.

***

Tell me which of them is the least stable. Sure, it is i.

***

i | AlBC2 | GGA-PBE | relaxed

Cell: 3.6028 3.6028 3.6028 Å, 60.00 60.00 60.00°
Fractional positions:
Al1 0.0000 0.0000 0.0000
B1 0.5000 0.5000 0.5000
C1 0.2500 0.2500 0.2500
C2 0.7500 0.7500 0.7500

## Properties
Its symmetry is Fm-3m. Its crystal system is cubic. The calculation puts the total moment at 0.0 Bohr magnetons per cell.

***

ii | AlBC2 | GGA-PBE | relaxed

Cell: 5.4457 5.4457 5.4457 Å, 137.83 137.83 61.16°
Fractional positions:
Al1 0.0000 0.0000 0.0000
Al2 0.7500 0.2500 0.5000
B1 0.2500 0.7500 0.5000
B2 0.5000 0.5000 0.0000
C1 0.2187 0.6250 0.0937
C2 0.3750 0.4687 0.5937
C3 0.5313 0.1250 0.9063
C4 0.8750 0.7813 0.4063

## Properties
Its symmetry is I-42d. Its crystal system is tetragonal. The calculation puts the total moment at 0.0 Bohr magnetons per cell.

***

Tell me which of them is the least stable. Sure, it is i.

***

i | Al2BC | GGA-PBE | relaxed

Cell: 3.8994 3.8994 3.8994 Å, 60.00 60.00 60.00°
Fractional positions:
Al1 0.2500 0.2500 0.2500
Al2 0.7500 0.7500 0.7500
B1 0.0000 0.0000 0.0000
C1 0.5000 0.5000 0.5000

## Properties
Its symmetry is Fm-3m. Its crystal system is cubic. The calculation puts the total moment at 0.0 Bohr magnetons per cell.

***

ii | Al2BC | GGA-PBE | relaxed

Cell: 5.4205 5.4205 5.4205 Å, 122.46 122.46 85.78°
Fractional positions:
Al1 0.0788 0.6250 0.9538
Al2 0.3750 0.3288 0.4538
Al3 0.6712 0.1250 0.0462
Al4 0.8750 0.9212 0.5462
B1 0.2500 0.7500 0.5000
B2 0.5000 0.5000 0.0000
C1 0.0000 0.0000 0.0000
C2 0.7500 0.2500 0.5000

## Properties
Its symmetry is I-42d. Its crystal system is tetragonal. The calculation puts the total moment at 0.0 Bohr magnetons per cell.

***

Tell me which of them is the least stable. Sure, it is i.

***

i | Al3BC3 | GGA-PBE | relaxed

Cell: 3.4274 3.4274 15.8923 Å, 90.00 90.00 120.00°
Fractional positions:
Al1 0.0000 0.0000 0.2500
Al2 0.0000 0.0000 0.7500
Al3 0.3333 0.6667 0.1221
Al4 0.3333 0.6667 0.3779
Al5 0.6667 0.3333 0.6221
Al6 0.6667 0.3333 0.8779
B1 0.0000 0.0000 0.0000
B2 0.0000 0.0000 0.5000
C1 0.0000 0.0000 0.0908
C2 0.0000 0.0000 0.4092
C3 0.0000 0.0000 0.5908
C4 0.0000 0.0000 0.9092
C5 0.3333 0.6667 0.2500
C6 0.6667 0.3333 0.7500

## Properties
Its symmetry is P6_3/mmc. Its crystal system is hexagonal. The calculation puts the total moment at 0.0 Bohr magnetons per cell.

***

ii | Al3BC3 | GGA-PBE | relaxed

Cell: 5.9311 5.9311 15.9502 Å, 90.00 90.00 120.00°
Fractional positions:
Al1 0.0000 0.0000 0.1440
Al2 0.0000 0.0000 0.6440
Al3 0.0000 0.3202 0.0000
Al4 0.0000 0.3474 0.2550
Al5 0.0000 0.6526 0.7550
Al6 0.0000 0.6798 0.5000
Al7 0.3202 0.0000 0.0000
Al8 0.3202 0.3202 0.5000
Al9 0.3333 0.6667 0.1159
Al10 0.3333 0.6667 0.6159
Al11 0.3474 0.0000 0.2550
Al12 0.3474 0.3474 0.7550
Al13 0.6526 0.0000 0.7550
Al14 0.6526 0.6526 0.2550
Al15 0.6667 0.3333 0.1159
Al16 0.6667 0.3333 0.6159
Al17 0.6798 0.0000 0.5000
Al18 0.6798 0.6798 0.0000
B1 0.0000 0.0000 0.3677
B2 0.0000 0.0000 0.8677
B3 0.3333 0.6667 0.3834
B4 0.3333 0.6667 0.8834
B5 0.6667 0.3333 0.3834
B6 0.6667 0.3333 0.8834
C1 0.0000 0.0000 0.2780
C2 0.0000 0.0000 0.4584
C3 0.0000 0.0000 0.7780
C4 0.0000 0.0000 0.9584
C5 0.0000 0.3331 0.1274
C6 0.0000 0.6669 0.6274
C7 0.3331 0.0000 0.1274
C8 0.3331 0.3331 0.6274
C9 0.3333 0.6667 0.2930
C10 0.3333 0.6667 0.4739
C11 0.3333 0.6667 0.7930
C12 0.3333 0.6667 0.9739
C13 0.6669 0.0000 0.6274
C14 0.6667 0.3333 0.2930
C15 0.6667 0.3333 0.4739
C16 0.6667 0.3333 0.7930
C17 0.6667 0.3333 0.9739
C18 0.6669 0.6669 0.1274

## Properties
Its symmetry is P6_3cm. Its crystal system is hexagonal. The calculation puts the total moment at 0.0 Bohr magnetons per cell.

***

Tell me which of them is the least stable. Sure, it is i.

***

i | AlB3C | GGA-PBE | relaxed

Cell: 3.5294 3.5294 3.5294 Å, 90.00 90.00 90.00°
Fractional positions:
Al1 0.0000 0.0000 0.0000
B1 0.0000 0.5000 0.5000
B2 0.5000 0.0000 0.5000
B3 0.5000 0.5000 0.0000
C1 0.5000 0.5000 0.5000

## Properties
Its symmetry is Pm-3m. Its crystal system is cubic. The calculation puts the total moment at 0.0 Bohr magnetons per cell.

***

ii | AlB3C | GGA-PBE | relaxed

Cell: 4.1203 4.1203 4.1203 Å, 90.00 90.00 90.00°
Fractional positions:
Al1 0.0000 0.0000 0.0000
B1 0.0000 0.0000 0.5000
B2 0.0000 0.5000 0.0000
B3 0.5000 0.0000 0.0000
C1 0.5000 0.5000 0.5000

## Properties
Its symmetry is Pm-3m. Its crystal system is cubic. The calculation puts the total moment at 1.1 Bohr magnetons per cell.

***

Tell me which of them is the least stable. Sure, it is ii.

***

i | CaAl3B | GGA-PBE | relaxed

Cell: 4.4792 4.4792 4.4792 Å, 90.00 90.00 90.00°
Fractional positions:
Ca1 0.0000 0.0000 0.0000
Al1 0.0000 0.5000 0.5000
Al2 0.5000 0.0000 0.5000
Al3 0.5000 0.5000 0.0000
B1 0.5000 0.5000 0.5000

## Properties
Its symmetry is Pm-3m. Its crystal system is cubic. The calculation puts the total moment at 0.0 Bohr magnetons per cell.

***

ii | CaAl3B | GGA-PBE | relaxed

Cell: 5.5986 5.5986 5.5986 Å, 90.00 90.00 90.00°
Fractional positions:
Ca1 0.0000 0.0000 0.0000
Al1 0.0000 0.0000 0.5000
Al2 0.0000 0.5000 0.0000
Al3 0.5000 0.0000 0.0000
B1 0.5000 0.5000 0.5000

## Properties
Its symmetry is Pm-3m. Its crystal system is cubic. The calculation puts the total moment at 0.0 Bohr magnetons per cell.

***

Tell me which of them is the least stable. Sure, it is ii.

***

i | CaAlB3 | GGA-PBE | relaxed

Cell: 4.2114 4.2114 4.2114 Å, 90.00 90.00 90.00°
Fractional positions:
Ca1 0.0000 0.0000 0.0000
Al1 0.5000 0.5000 0.5000
B1 0.0000 0.5000 0.5000
B2 0.5000 0.0000 0.5000
B3 0.5000 0.5000 0.0000

## Properties
Its symmetry is Pm-3m. Its crystal system is cubic. The calculation puts the total moment at 0.0 Bohr magnetons per cell.

***

ii | CaAlB3 | GGA-PBE | relaxed

Cell: 4.6719 4.6719 4.6719 Å, 90.00 90.00 90.00°
Fractional positions:
Ca1 0.0000 0.0000 0.0000
Al1 0.5000 0.5000 0.5000
B1 0.0000 0.0000 0.5000
B2 0.0000 0.5000 0.0000
B3 0.5000 0.0000 0.0000

## Properties
Its symmetry is Pm-3m. Its crystal system is cubic. The calculation puts the total moment at 0.0 Bohr magnetons per cell.

***

Tell me which of them is the least stable. Sure, it is ii.

***

i | AlCd3B | GGA-PBE | relaxed

Cell: 5.1569 5.1569 5.1569 Å, 90.00 90.00 90.00°
Fractional positions:
Al1 0.0000 0.0000 0.0000
Cd1 0.0000 0.0000 0.5000
Cd2 0.0000 0.5000 0.0000
Cd3 0.5000 0.0000 0.0000
B1 0.5000 0.5000 0.5000

## Properties
Its symmetry is Pm-3m. Its crystal system is cubic. The calculation puts the total moment at 0.0 Bohr magnetons per cell.

***

ii | AlCd3B | GGA-PBE | relaxed

Cell: 4.6731 4.6731 4.6731 Å, 90.00 90.00 90.00°
Fractional positions:
Al1 0.0000 0.0000 0.0000
Cd1 0.0000 0.5000 0.5000
Cd2 0.5000 0.0000 0.5000
Cd3 0.5000 0.5000 0.0000
B1 0.5000 0.5000 0.5000

## Properties
Its symmetry is Pm-3m. Its crystal system is cubic. The calculation puts the total moment at 0.0 Bohr magnetons per cell.

***

Tell me which of them is the least stable. Sure, it is i.

***

i | Al2CdB | GGA-PBE | relaxed

Cell: 4.5028 4.5028 4.5028 Å, 60.00 60.00 60.00°
Fractional positions:
Al1 0.2500 0.2500 0.2500
Al2 0.7500 0.7500 0.7500
Cd1 0.0000 0.0000 0.0000
B1 0.5000 0.5000 0.5000

## Properties
Its symmetry is Fm-3m. Its crystal system is cubic. The calculation puts the total moment at 0.0 Bohr magnetons per cell.

***

ii | Al2CdB | GGA-PBE | relaxed

Cell: 6.2900 6.2900 6.2900 Å, 123.10 123.10 84.71°
Fractional positions:
Al1 0.0000 0.6250 0.8750
Al2 0.3750 0.2500 0.3750
Al3 0.7500 0.1250 0.1250
Al4 0.8750 0.0000 0.6250
Cd1 0.2500 0.7500 0.5000
Cd2 0.5000 0.5000 0.0000
B1 0.0000 0.0000 0.0000
B2 0.7500 0.2500 0.5000

## Properties
Its symmetry is I-42d. Its crystal system is tetragonal. The calculation puts the total moment at 0.0 Bohr magnetons per cell.

***

Tell me which of them is the least stable. Sure, it is i.

***

i | Al2CdBN | GGA-PBE | relaxed

Cell: 5.2565 5.2565 3.9277 Å, 90.00 90.00 90.00°
Fractional positions:
Al1 0.0000 0.5000 0.0000
Al2 0.5000 0.0000 0.0000
Cd1 0.0000 0.0000 0.0000
B1 0.5000 0.5000 0.5000
N1 0.0000 0.0000 0.5000

## Properties
Its symmetry is P4/mmm. Its crystal system is tetragonal. The calculation puts the total moment at 0.0 Bohr magnetons per cell.

***

ii | Al2CdBN | GGA-PBE | relaxed

Cell: 3.7984 3.7984 4.9034 Å, 90.00 90.00 90.00°
Fractional positions:
Al1 0.0000 0.5000 0.0000
Al2 0.5000 0.0000 0.0000
Cd1 0.0000 0.0000 0.5000
B1 0.5000 0.5000 0.5000
N1 0.5000 0.5000 0.0000

## Properties
Its symmetry is P4/mmm. Its crystal system is tetragonal. The calculation puts the total moment at 0.0 Bohr magnetons per cell.

***

Tell me which of them is the least stable. Sure, it is i.